Material: SrMo2PtO8
Method: DFT, PBE+U
State: relaxed

Cell and atoms, written as extended XYZ:
```
12
Lattice="5.527 -0.223 -0.081 2.351 5.007 -0.081 0.258 0.157 7.330" Properties=species:S:1:pos:R:3 pbc="T T T"
Sr 0.129 0.078 3.665
O 3.124 3.672 5.634
O 5.012 1.268 1.534
O 3.437 3.862 1.534
O 6.090 3.697 0.184
O 2.047 1.243 6.984
O 4.700 1.078 5.634
O 5.886 3.574 3.080
O 2.250 1.366 4.088
Mo 3.028 1.839 5.612
Mo 5.108 3.102 1.556
Pt 0.000 0.000 0.000
```

Values from the calculation:
Size of the total moment in μB per atom: 0.17
Raw total energy in eV/cell: -80.178